<1>
This record from the Alexandria database describes an optimized crystal structure of LaInAg3. The functional is PBE.

a b c (Å): 4.357 4.365 7.036
angles (deg): 71.79 71.83 89.88
Fractional coordinates of all 5 atoms:
In 0.014 0.817 0.679
Ag 0.795 0.598 0.116
Ag 0.654 0.956 0.398
Ag 0.152 0.457 0.399
La 0.393 0.197 0.919

Output
Crystal system: monoclinic
DOS at the Fermi energy, states/eV/f.u.: 3.24

***

<2>
This record from the Alexandria database describes an optimized crystal structure of LaInAg3. The functional is PBE.

a b c (Å): 5.148 5.148 5.148
angles (deg): 90.00 90.00 90.00
Fractional coordinates of all 5 atoms:
In 0.000 0.000 0.000
La 0.500 0.500 0.500
Ag 0.500 0.000 0.000
Ag 0.000 0.000 0.500
Ag 0.000 0.500 0.000

Output
Crystal system: cubic
DOS at the Fermi energy, states/eV/f.u.: 3.90

***

The structure with the most favorable energy is <1>; the runner-up is 32.2 kJ/mol of atoms above it.